Zr2TiSe2Cl4 | GGA-PBE | relaxed

abc: 3.4449 3.4449 21.8129
angles: 90.00 90.00 120.00
Space group P3m1 (No. 156)
Unique sites:
Zr  0.0000  0.0000  0.0000
Zr  0.3333  0.6667  0.3300
Ti  0.3333  0.6667  0.6735
Se  0.0000  0.0000  0.5987
Se  0.0000  0.0000  0.7484
Cl  0.0000  0.0000  0.2515
Cl  0.0000  0.0000  0.4082
Cl  0.3333  0.6667  0.0786
Cl  0.3333  0.6667  0.9219

- total moment (μB per formula unit) = 0.00
- E (eV/atom) = -5.81



EuTaTe2 | GGA-PBE | relaxed

abc: 4.4255 4.4255 19.7832
angles: 90.00 90.00 120.00
Space group R-3m (No. 166, hexagonal axes)
Unique sites:
Eu  0.0000  0.0000  0.0000
Ta  0.0000  0.0000  0.5000
Te  0.0000  0.0000  0.2357

- total moment (μB per formula unit) = 4.91
- E (eV/atom) = -7.59



HS2Cl | GGA-PBE | relaxed

abc: 2.7041 2.7041 31.1167
angles: 90.00 90.00 120.00
Space group R-3m (No. 166, hexagonal axes)
Unique sites:
H  0.0000  0.0000  0.0000
S  0.0000  0.0000  0.0534
Cl  0.0000  0.0000  0.5000

- energy relative to the lowest polymorph listed for this composition (meV/atom) = 454
- total moment (μB per formula unit) = 0.00
- E (eV/atom) = -2.80



NpSbO5 | GGA-PBE | relaxed

abc: 4.0793 6.7403 8.2519
angles: 90.00 90.00 90.00
Space group Immm (No. 71)
Unique sites:
Np  0.0000  0.0000  0.0000
Sb  0.0000  0.0000  0.5000
O  0.0000  0.0000  0.2384
O  0.0000  0.3037  0.0000
O  0.0000  0.5000  0.5000

- total moment (μB per formula unit) = 0.09
- E (eV/atom) = -7.91



GaAgAsSe2 | GGA-PBE | relaxed

abc: 5.0573 5.0573 4.8543
angles: 90.00 90.00 90.00
Space group P4/mmm (No. 123)
Unique sites:
Ga  0.0000  0.0000  0.0000
Ag  0.5000  0.5000  0.5000
As  0.0000  0.0000  0.5000
Se  0.0000  0.5000  0.0000

- energy relative to the lowest polymorph listed for this composition (meV/atom) = 0
- total moment (μB per formula unit) = 0.33
- E (eV/atom) = -2.97



SbRuCl2 | GGA-PBE | relaxed

abc: 3.4739 3.4739 32.6039
angles: 90.00 90.00 120.00
Space group R-3m (No. 166, hexagonal axes)
Unique sites:
Sb  0.0000  0.0000  0.0000
Ru  0.0000  0.0000  0.5000
Cl  0.0000  0.0000  0.2066

- energy relative to the lowest polymorph listed for this composition (meV/atom) = 266
- total moment (μB per formula unit) = 0.24
- E (eV/atom) = -4.18



KPbBr | GGA-PBE | relaxed

abc: 3.7929 3.7929 14.9199
angles: 90.00 90.00 90.00
Space group I4mm (No. 107)
Unique sites:
K  0.0000  0.0000  0.0000
Pb  0.0000  0.0000  0.2863
Br  0.0000  0.0000  0.6137

- energy relative to the lowest polymorph listed for this composition (meV/atom) = 0
- total moment (μB per formula unit) = 0.00
- E (eV/atom) = -2.72



ZnRuO2 | GGA-PBE | relaxed

abc: 2.8643 2.8643 18.6446
angles: 90.00 90.00 120.00
Space group R-3m (No. 166, hexagonal axes)
Unique sites:
Zn  0.0000  0.0000  0.0000
Ru  0.0000  0.0000  0.5000
O  0.0000  0.0000  0.3982

- total moment (μB per formula unit) = 0.00
- E (eV/atom) = -5.88



Na4In3SiS8 | GGA-PBE | relaxed

abc: 7.5797 7.5797 20.1101
angles: 90.00 90.00 120.00
Space group R-3m (No. 166, hexagonal axes)
Unique sites:
Na  0.0000  0.0000  0.0000
Na  0.0000  0.5000  0.0000
In  0.0000  0.5000  0.5000
Si  0.0000  0.0000  0.5000
S  0.0000  0.0000  0.2398
S  0.0157  0.5079  0.2378

- total moment (μB per formula unit) = 0.00
- E (eV/atom) = -4.02



Ac2PuAgO8 | GGA-PBE | relaxed

abc: 4.6740 5.4487 7.8714
angles: 80.89 85.74 81.28
Space group P-1 (No. 2)
Unique sites:
Ac  0.0394  0.0638  0.2364
Pu  0.5000  0.5000  0.5000
Ag  0.5000  0.5000  0.0000
O  0.1221  0.7105  0.5034
O  0.1625  0.7633  0.0394
O  0.3882  0.2252  0.6559
O  0.4646  0.3226  0.2525

- total moment (μB per formula unit) = 1.00
- E (eV/atom) = -7.73



Ta4TcNi | GGA-PBE | relaxed

abc: 7.5166 7.5166 7.5166
angles: 90.00 90.00 90.00
Space group F-43m (No. 216)
Unique sites:
Ta  0.1239  0.1239  0.1239
Tc  0.2500  0.2500  0.7500
Ni  0.0000  0.0000  0.5000

- total moment (μB per formula unit) = 0.00
- E (eV/atom) = -10.05
- ΔH_f (0 K) (meV per atom) = 539



ScBe2Fe2 | GGA-PBE | relaxed

abc: 3.8760 3.8760 8.1694
angles: 90.00 90.00 90.00
Space group I4/mmm (No. 139)
Unique sites:
Sc  0.0000  0.0000  0.0000
Be  0.0000  0.5000  0.2500
Fe  0.0000  0.0000  0.3650

- energy relative to the lowest polymorph listed for this composition (meV/atom) = 114
- total moment (μB per formula unit) = 2.12
- E (eV/atom) = -6.12
- ΔH_f (0 K) (meV per atom) = 24



NaSnH | GGA-PBE | relaxed

abc: 10.1892 4.6680 5.6240
angles: 90.00 107.47 90.00
Space group C2/m (No. 12)
Unique sites:
Na  0.0000  0.0000  0.0000
Na  0.0000  0.5000  0.5000
Sn  0.2222  0.0000  0.6547
H  0.0991  0.5000  0.1543

- energy relative to the lowest polymorph listed for this composition (meV/atom) = 35
- total moment (μB per formula unit) = 0.00
- E (eV/atom) = -2.97



KTe2Br8 | GGA-PBE | relaxed

abc: 9.8501 9.8501 5.7795
angles: 90.00 90.00 120.00
Space group P-3 (No. 147)
Unique sites:
K  0.0000  0.0000  0.0000
Te  0.3333  0.6667  0.2622
Br  0.1768  0.3570  0.2738
Br  0.3333  0.6667  0.7667

- total moment (μB per formula unit) = 0.00
- E (eV/atom) = -2.36



NdZn5PdPt2 | GGA-PBE | relaxed

abc: 4.8505 4.8505 7.4154
angles: 90.00 90.00 90.00
Space group P4/mmm (No. 123)
Unique sites:
Nd  0.0000  0.0000  0.0000
Zn  0.0000  0.5000  0.3130
Zn  0.5000  0.5000  0.0000
Pd  0.0000  0.0000  0.5000
Pt  0.5000  0.5000  0.3198

- total moment (μB per formula unit) = 0.00
- E (eV/atom) = -3.44
- ΔH_f (0 K) (meV per atom) = -286



ZrU2Se6 | GGA-PBE | relaxed

abc: 14.9668 4.0156 9.8395
angles: 90.00 107.37 90.00
Space group C2/m (No. 12)
Unique sites:
Zr  0.0000  0.0000  0.0000
U  0.1627  0.5000  0.3267
Se  0.0251  0.0000  0.2843
Se  0.1300  0.5000  0.0312
Se  0.1992  0.5000  0.6264

- energy relative to the lowest polymorph listed for this composition (meV/atom) = 0
- total moment (μB per formula unit) = 4.00
- E (eV/atom) = -6.97



LiHoAgAu | GGA-PBE | relaxed

abc: 8.0468 4.6284 5.1167
angles: 90.00 121.33 90.00
Space group Cm (No. 8)
Unique sites:
Li  0.0000  0.0000  0.0000
Ho  0.4946  0.0000  0.4840
Ag  0.2680  0.0000  0.8034
Au  0.2223  0.5000  0.1666

- total moment (μB per formula unit) = 0.00
- E (eV/atom) = -3.64
- ΔH_f (0 K) (meV per atom) = -485



Sm2Er3S4 | GGA-PBE | relaxed

abc: 3.8810 3.8810 15.9876
angles: 90.00 90.00 120.00
Space group P-3m1 (No. 164)
Unique sites:
Sm  0.3333  0.6667  0.2071
Er  0.0000  0.0000  0.0000
Er  0.3333  0.6667  0.5891
S  0.0000  0.0000  0.3134
S  0.3333  0.6667  0.9028

- total moment (μB per formula unit) = 0.01
- E (eV/atom) = -6.16



Mg2AsSe | GGA-PBE | relaxed

abc: 3.1488 3.1488 9.6866
angles: 90.00 90.00 90.00
Space group P4mm (No. 99)
Unique sites:
Mg  0.0000  0.0000  0.0000
Mg  0.5000  0.5000  0.2769
As  0.5000  0.5000  0.8176
Se  0.0000  0.0000  0.4364

- total moment (μB per formula unit) = 0.00
- E (eV/atom) = -2.95



La3Zr7Ir4 | GGA-PBE | relaxed

abc: 17.1121 4.5941 10.3881
angles: 90.00 126.23 90.00
Space group C2/m (No. 12)
Unique sites:
La  0.0000  0.0000  0.0000
La  0.1915  0.5000  0.6910
Zr  0.0000  0.0000  0.5000
Zr  0.0043  0.5000  0.2943
Zr  0.1625  0.0000  0.4256
Zr  0.1931  0.5000  0.0380
Ir  0.1150  0.0000  0.8512
Ir  0.1621  0.5000  0.2871

- total moment (μB per formula unit) = 0.00
- E (eV/atom) = -8.38
- ΔH_f (0 K) (meV per atom) = -514



LaYI2O | GGA-PBE | relaxed

abc: 6.1656 6.1656 4.1495
angles: 90.00 90.00 90.00
Space group P4/mmm (No. 123)
Unique sites:
La  0.0000  0.0000  0.0000
Y  0.5000  0.5000  0.5000
I  0.0000  0.5000  0.5000
O  0.5000  0.5000  0.0000

- energy relative to the lowest polymorph listed for this composition (meV/atom) = 0
- total moment (μB per formula unit) = 0.00
- E (eV/atom) = -5.34



Cs2In2HgI6 | GGA-PBE | relaxed

abc: 6.6663 9.7172 10.7440
angles: 101.18 106.72 102.70
Space group P-1 (No. 2)
Unique sites:
Cs  0.2280  0.1664  0.3295
In  0.3582  0.6793  0.1670
Hg  0.5000  0.5000  0.0000
I  0.0007  0.2206  0.9608
I  0.2171  0.5780  0.3686
I  0.3355  0.0424  0.6670

- total moment (μB per formula unit) = 0.00
- E (eV/atom) = -2.39



Sc2Be2As | GGA-PBE | relaxed

abc: 4.2726 4.2726 9.7891
angles: 90.00 90.00 90.00
Space group I4/mmm (No. 139)
Unique sites:
Sc  0.0000  0.5000  0.2500
Be  0.0000  0.0000  0.0985
As  0.0000  0.0000  0.5000

- energy relative to the lowest polymorph listed for this composition (meV/atom) = 749
- total moment (μB per formula unit) = 0.58
- E (eV/atom) = -4.62
- ΔH_f (0 K) (meV per atom) = 336



Dy2Ga5PdRu2 | GGA-PBE | relaxed

abc: 9.6171 9.6171 3.8941
angles: 90.00 90.00 90.00
Space group P4/mbm (No. 127)
Unique sites:
Dy  0.1814  0.3186  0.0000
Ga  0.0000  0.5000  0.5000
Ga  0.0572  0.8005  0.5000
Pd  0.0000  0.0000  0.0000
Ru  0.1174  0.6174  0.0000

- total moment (μB per formula unit) = 0.00
- E (eV/atom) = -5.26
- ΔH_f (0 K) (meV per atom) = -450



AlZn3B | GGA-PBE | relaxed

abc: 4.7956 4.7956 4.7956
angles: 90.00 90.00 90.00
Space group Pm-3m (No. 221)
Unique sites:
Al  0.0000  0.0000  0.0000
Zn  0.0000  0.0000  0.5000
B  0.5000  0.5000  0.5000

- energy relative to the lowest polymorph listed for this composition (meV/atom) = 890
- total moment (μB per formula unit) = 0.00
- E (eV/atom) = -1.52
- ΔH_f (0 K) (meV per atom) = 1326